# 1
Below is a relaxed SmAgH crystal, with properties calculated at the GGA-PBE level.

a = 3.3801 Å, b = 3.3801 Å, c = 10.0806 Å
α = 90.00°, β = 90.00°, γ = 90.00°
Atoms (fractional coordinates):
Sm: 0.0000 0.0000 0.0000
Sm: 0.5000 0.5000 0.5000
Ag: 0.0000 0.0000 0.2938
Ag: 0.5000 0.5000 0.7938
H: 0.0000 0.0000 0.5175
H: 0.5000 0.5000 0.0175

The crystal system is tetragonal. The density of states at the Fermi level is 3.6 states/eV per cell. Its theoretical density is 7.48 g/cm3. The value obtained for the excess energy over the best structure of this formula in the dataset is 131 meV per atom.

# 2
Below is a relaxed Ag2SnH crystal, with properties calculated at the GGA-PBE level.

a = 6.5594 Å, b = 6.5594 Å, c = 6.5594 Å
α = 90.00°, β = 90.00°, γ = 90.00°
Atoms (fractional coordinates):
Ag: 0.2500 0.2500 0.2500
Ag: 0.2500 0.2500 0.7500
Ag: 0.2500 0.7500 0.2500
Ag: 0.2500 0.7500 0.7500
Ag: 0.7500 0.2500 0.2500
Ag: 0.7500 0.2500 0.7500
Ag: 0.7500 0.7500 0.2500
Ag: 0.7500 0.7500 0.7500
Sn: 0.0000 0.0000 0.0000
Sn: 0.0000 0.5000 0.5000
Sn: 0.5000 0.0000 0.5000
Sn: 0.5000 0.5000 0.0000
H: 0.0000 0.0000 0.5000
H: 0.0000 0.5000 0.0000
H: 0.5000 0.0000 0.0000
H: 0.5000 0.5000 0.5000

The crystal system is cubic. The density of states at the Fermi level is 6.4 states/eV per cell. Its theoretical density is 7.90 g/cm3. The value obtained for the excess energy over the best structure of this formula in the dataset is 356 meV per atom.

# 3
Below is a relaxed AgSnH3 crystal, with properties calculated at the GGA-PBE level.

a = 4.0452 Å, b = 4.0452 Å, c = 4.0452 Å
α = 90.00°, β = 90.00°, γ = 90.00°
Atoms (fractional coordinates):
Ag: 0.0000 0.0000 0.0000
Sn: 0.5000 0.5000 0.5000
H: 0.0000 0.5000 0.5000
H: 0.5000 0.0000 0.5000
H: 0.5000 0.5000 0.0000

The crystal system is cubic. The density of states at the Fermi level is 1.2 states/eV per cell. Its theoretical density is 5.76 g/cm3. The value obtained for the excess energy over the best structure of this formula in the dataset is 94 meV per atom.

# 4
Below is a relaxed Ag2Sn2H crystal, with properties calculated at the GGA-PBE level.

a = 5.8690 Å, b = 5.8690 Å, c = 5.6062 Å
α = 90.00°, β = 90.00°, γ = 90.00°
Atoms (fractional coordinates):
Ag: 0.1854 0.3146 0.0000
Ag: 0.3146 0.8146 0.0000
Ag: 0.6854 0.1854 0.0000
Ag: 0.8146 0.6854 0.0000
Sn: 0.1909 0.6909 0.5000
Sn: 0.3091 0.1909 0.5000
Sn: 0.6909 0.8091 0.5000
Sn: 0.8091 0.3091 0.5000
H: 0.0000 0.0000 0.0000
H: 0.5000 0.5000 0.0000

The crystal system is tetragonal. The density of states at the Fermi level is 4.1 states/eV per cell. Its theoretical density is 7.81 g/cm3. The value obtained for the calculated total energy is -0.23166 Ry/atom.